# Tl2FeMo, relaxed, DFT PBE-GGA
data_Tl2FeMo
_chemical_formula_sum 'Tl4 Fe2 Mo2'
_cell_length_a 3.202
_cell_length_b 5.113
_cell_length_c 9.322
_cell_angle_alpha 90.00
_cell_angle_beta 90.00
_cell_angle_gamma 90.00
_space_group_name_H-M_alt 'I m m m'
_space_group_IT_number 71
_space_group_name_Hall '-I 2 2'
loop_
_atom_site_label
_atom_site_fract_x
_atom_site_fract_y
_atom_site_fract_z
_atom_site_occupancy
Tl1 0.000 0.000 0.236 1
Fe1 0.000 0.500 0.500 1
Mo1 0.000 0.500 0.000 1
# energy	-5.162	eV per atom

---

# RbTlPtPb, relaxed, DFT PBE-GGA
data_RbTlPtPb
_chemical_formula_sum 'Rb3 Tl3 Pt3 Pb3'
_cell_length_a 4.5554
_cell_length_b 4.5554
_cell_length_c 22.4000
_cell_angle_alpha 90.00
_cell_angle_beta 90.00
_cell_angle_gamma 120.00
_space_group_name_H-M_alt 'R 3 m'
_space_group_IT_number 160
_space_group_name_Hall 'R 3 -2"'
loop_
_atom_site_label
_atom_site_fract_x
_atom_site_fract_y
_atom_site_fract_z
_atom_site_occupancy
Rb1 0.0000 0.0000 0.0000 1
Tl1 0.0000 0.0000 0.2193 1
Pt1 0.0000 0.0000 0.8311 1
Pb1 0.0000 0.0000 0.4516 1
# energy	-3.428	eV per atom

---

# La2ZrScP4, relaxed, DFT PBE-GGA
data_La2ZrScP4
_chemical_formula_sum 'La2 Zr1 Sc1 P4'
_cell_length_a 6.899
_cell_length_b 3.983
_cell_length_c 6.972
_cell_angle_alpha 90.00
_cell_angle_beta 109.22
_cell_angle_gamma 90.00
_space_group_name_H-M_alt 'P 1 2/m 1'
_space_group_IT_number 10
loop_
_space_group_symop_operation_xyz
'x,y,z'
'-x,-y,-z'
'-x,y,-z'
'x,-y,z'
loop_
_atom_site_label
_atom_site_fract_x
_atom_site_fract_y
_atom_site_fract_z
_atom_site_occupancy
La1 0.000 0.000 0.000 1
La2 0.500 0.500 0.000 1
Zr1 0.000 0.500 0.500 1
Sc1 0.500 0.000 0.500 1
P1 0.239 0.000 0.720 1
P2 0.259 0.500 0.281 1
# energy	-7.278	eV per atom

---

# Cs4K2H, relaxed, DFT PBE-GGA
data_Cs4K2H
_chemical_formula_sum 'Cs8 K4 H2'
_cell_length_a 6.562
_cell_length_b 6.562
_cell_length_c 24.714
_cell_angle_alpha 90.00
_cell_angle_beta 90.00
_cell_angle_gamma 90.00
_space_group_name_H-M_alt 'I 4/m m m'
_space_group_IT_number 139
_space_group_name_Hall '-I 4 2'
loop_
_atom_site_label
_atom_site_fract_x
_atom_site_fract_y
_atom_site_fract_z
_atom_site_occupancy
Cs1 0.000 0.000 0.134 1
Cs2 0.000 0.500 0.000 1
K1 0.000 0.000 0.322 1
H1 0.000 0.000 0.000 1
# energy	-1.266	eV per atom

---

# BaPtW, relaxed, DFT PBE-GGA
data_BaPtW
_chemical_formula_sum 'Ba4 Pt4 W4'
_cell_length_a 7.009
_cell_length_b 7.009
_cell_length_c 7.009
_cell_angle_alpha 90.00
_cell_angle_beta 90.00
_cell_angle_gamma 90.00
_space_group_name_H-M_alt 'F -4 3 m'
_space_group_IT_number 216
_space_group_name_Hall 'F -4 2 3'
loop_
_atom_site_label
_atom_site_fract_x
_atom_site_fract_y
_atom_site_fract_z
_atom_site_occupancy
Ba1 0.000 0.000 0.000 1
Pt1 0.250 0.250 0.250 1
W1 0.000 0.000 0.500 1
# energy	-5.789	eV per atom

---

# Na3Ca2TeO6, relaxed, DFT PBE-GGA
data_Na3Ca2TeO6
_chemical_formula_sum 'Na6 Ca4 Te2 O12'
_cell_length_a 5.854
_cell_length_b 10.152
_cell_length_c 5.915
_cell_angle_alpha 90.00
_cell_angle_beta 109.39
_cell_angle_gamma 90.00
_space_group_name_H-M_alt 'C 1 2/m 1'
_space_group_IT_number 12
loop_
_space_group_symop_operation_xyz
'x,y,z'
'-x,-y,-z'
'-x,y,-z'
'x,-y,z'
'x+1/2,y+1/2,z'
'-x+1/2,-y+1/2,-z'
'-x+1/2,y+1/2,-z'
'x+1/2,-y+1/2,z'
loop_
_atom_site_label
_atom_site_fract_x
_atom_site_fract_y
_atom_site_fract_z
_atom_site_occupancy
Na1 0.000 0.000 0.000 1
Na2 0.000 0.340 0.000 1
Ca1 0.000 0.167 0.500 1
Te1 0.000 0.500 0.500 1
O1 0.220 0.351 0.715 1
O2 0.229 0.500 0.291 1
# energy	-5.346	eV per atom

---

# SrTlSnS2, relaxed, DFT PBE-GGA
data_SrTlSnS2
_chemical_formula_sum 'Sr1 Tl1 Sn1 S2'
_cell_length_a 5.350
_cell_length_b 5.350
_cell_length_c 5.434
_cell_angle_alpha 90.00
_cell_angle_beta 90.00
_cell_angle_gamma 90.00
_space_group_name_H-M_alt 'P 4/m m m'
_space_group_IT_number 123
_space_group_name_Hall '-P 4 2'
loop_
_atom_site_label
_atom_site_fract_x
_atom_site_fract_y
_atom_site_fract_z
_atom_site_occupancy
Sr1 0.000 0.000 0.000 1
Tl1 0.500 0.500 0.000 1
Sn1 0.500 0.500 0.500 1
S1 0.000 0.500 0.500 1
# energy	-3.570	eV per atom

---

# InAgSn, relaxed, DFT PBE-GGA
data_InAgSn
_chemical_formula_sum 'In4 Ag4 Sn4'
_cell_length_a 3.557
_cell_length_b 3.557
_cell_length_c 23.522
_cell_angle_alpha 90.00
_cell_angle_beta 90.00
_cell_angle_gamma 90.00
_space_group_name_H-M_alt 'I 4/m m m'
_space_group_IT_number 139
_space_group_name_Hall '-I 4 2'
loop_
_atom_site_label
_atom_site_fract_x
_atom_site_fract_y
_atom_site_fract_z
_atom_site_occupancy
In1 0.000 0.000 0.151 1
Ag1 0.000 0.000 0.281 1
Sn1 0.000 0.000 0.434 1
# energy	-3.138	eV per atom

---

# Pm4Pr7Er, relaxed, DFT PBE-GGA
data_Pm4Pr7Er
_chemical_formula_sum 'Pm4 Pr7 Er1'
_cell_length_a 6.362
_cell_length_b 7.356
_cell_length_c 9.715
_cell_angle_alpha 79.09
_cell_angle_beta 71.06
_cell_angle_gamma 89.96
_space_group_name_H-M_alt 'P -1'
_space_group_IT_number 2
loop_
_space_group_symop_operation_xyz
'x,y,z'
'-x,-y,-z'
loop_
_atom_site_label
_atom_site_fract_x
_atom_site_fract_y
_atom_site_fract_z
_atom_site_occupancy
Pm1 0.167 0.166 0.332 1
Pm2 0.333 0.584 0.666 1
Pr1 0.000 0.248 0.001 1
Pr2 0.167 0.668 0.333 1
Pr3 0.335 0.083 0.667 1
Pr4 0.500 0.500 0.000 1
Er1 0.500 0.000 0.000 1
# energy	-4.738	eV per atom

---

# AlInTe2, relaxed, DFT PBE-GGA
data_AlInTe2
_chemical_formula_sum 'Al4 In4 Te8'
_cell_length_a 7.940
_cell_length_b 10.001
_cell_length_c 7.058
_cell_angle_alpha 90.00
_cell_angle_beta 90.00
_cell_angle_gamma 90.00
_space_group_name_H-M_alt 'P n a 21'
_space_group_IT_number 33
loop_
_space_group_symop_operation_xyz
'x,y,z'
'-x,-y,z+1/2'
'-x+1/2,y+1/2,z+1/2'
'x+1/2,-y+1/2,z'
loop_
_atom_site_label
_atom_site_fract_x
_atom_site_fract_y
_atom_site_fract_z
_atom_site_occupancy
Al1 0.011 0.121 0.000 1
In1 0.063 0.575 0.042 1
Te1 0.027 0.127 0.371 1
Te2 0.243 0.266 0.832 1
# energy	-3.501	eV per atom

---

# LaMgZrI2, relaxed, DFT PBE-GGA
data_LaMgZrI2
_chemical_formula_sum 'La1 Mg1 Zr1 I2'
_cell_length_a 5.529
_cell_length_b 5.529
_cell_length_c 5.674
_cell_angle_alpha 90.00
_cell_angle_beta 90.00
_cell_angle_gamma 90.00
_space_group_name_H-M_alt 'P 4/m m m'
_space_group_IT_number 123
_space_group_name_Hall '-P 4 2'
loop_
_atom_site_label
_atom_site_fract_x
_atom_site_fract_y
_atom_site_fract_z
_atom_site_occupancy
La1 0.000 0.000 0.000 1
Mg1 0.500 0.500 0.000 1
Zr1 0.500 0.500 0.500 1
I1 0.000 0.500 0.500 1
# energy	-3.549	eV per atom

---

# In2TeP, relaxed, DFT PBE-GGA
data_In2TeP
_chemical_formula_sum 'In4 Te2 P2'
_cell_length_a 6.285
_cell_length_b 10.363
_cell_length_c 3.157
_cell_angle_alpha 90.00
_cell_angle_beta 90.00
_cell_angle_gamma 90.00
_space_group_name_H-M_alt 'C m m m'
_space_group_IT_number 65
_space_group_name_Hall '-C 2 2'
loop_
_atom_site_label
_atom_site_fract_x
_atom_site_fract_y
_atom_site_fract_z
_atom_site_occupancy
In1 0.250 0.250 0.000 1
Te1 0.000 0.000 0.500 1
P1 0.000 0.500 0.500 1
# energy	-3.187	eV per atom